# 1
K14HgAu | PBE | optimized geometry

Energy relative to the elements ... -0.04 eV/atom
E_tot ... -1.229 eV per atom
D(E_F) ... 11.6 states/eV/cell
Space-group type ... Amm2

POSCAR file:
```
K14HgAu
1.0
12.244 0.000 0.000
0.000 5.673 7.071
0.000 -5.673 7.071
K Hg Au
14 1 1
Cartesian
0.000 0.000 0.000
0.000 0.000 6.335
0.000 -2.394 10.220
0.000 2.394 10.220
3.250 0.000 2.994
3.596 0.000 11.675
3.901 -2.151 7.002
3.901 2.151 7.002
6.122 -2.643 3.331
6.122 2.643 3.331
8.343 -2.151 7.002
8.343 2.151 7.002
8.648 0.000 11.675
8.994 0.000 2.994
6.122 0.000 0.374
6.122 0.000 5.343
```

---

# 2
UBeV | PBE | optimized geometry

Energy relative to the elements ... 0.34 eV/atom
E_tot ... -7.699 eV per atom
Polymorph energy (0 for the lowest one) ... 119.1 meV/atom
D(E_F) ... 5.4 states/eV/cell
Space-group type ... I4mm

POSCAR file:
```
UBeV
1.0
-1.593 1.593 4.442
1.593 -1.593 4.442
1.593 1.593 -4.442
U Be V
1 1 1
Cartesian
0.000 0.000 0.000
0.000 0.000 2.830
0.000 0.000 6.580
```

---

# 3
Rb2LiCI | PBE | optimized geometry

E_tot ... -2.016 eV per atom
Formation energy from raw total energies ... 0.908 eV per atom
D(E_F) ... 4.6 states/eV/cell
Space-group type ... P4/mmm

POSCAR file:
```
Rb2LiCI
1.0
7.088 0.000 0.000
0.000 7.088 0.000
0.000 0.000 4.432
Rb Li C I
2 1 1 1
Cartesian
0.000 3.544 0.000
3.544 0.000 0.000
0.000 0.000 2.216
3.544 3.544 2.216
3.544 3.544 0.000
```

---

# 4
Ba3Zn3Ag | PBE | optimized geometry

Energy relative to the elements ... -0.19 eV/atom
E_tot ... -1.969 eV per atom
D(E_F) ... 12.3 states/eV/cell
Space-group type ... C2/m

POSCAR file:
```
Ba3Zn3Ag
1.0
6.070 -2.387 0.000
6.070 2.387 0.000
-5.556 0.000 16.146
Ba Zn Ag
6 6 2
Cartesian
-1.021 0.000 4.368
-1.041 0.000 9.328
-1.107 0.000 14.524
7.692 0.000 1.623
7.626 0.000 6.818
7.605 0.000 11.778
-4.590 0.000 15.219
2.584 0.000 4.320
2.605 0.000 9.298
3.980 0.000 6.848
4.000 0.000 11.827
11.174 0.000 0.927
4.163 0.000 1.965
2.422 0.000 14.182
```

---

# 5
Sr2Sn2Br | PBE | optimized geometry

E_tot ... -3.489 eV per atom
Formation energy from raw total energies ... -0.881 eV per atom
D(E_F) ... 2.2 states/eV/cell
Space-group type ... P4/mbm

POSCAR file:
```
Sr2Sn2Br
1.0
8.747 0.000 0.000
0.000 8.747 0.000
0.000 0.000 4.820
Sr Sn Br
4 4 2
Cartesian
1.609 2.764 0.000
2.764 7.138 0.000
5.983 1.609 0.000
7.138 5.983 0.000
0.957 5.331 2.410
3.416 0.957 2.410
5.331 7.790 2.410
7.790 3.416 2.410
0.000 0.000 0.000
4.374 4.374 0.000
```

---

# 6
Pu2V2Co15 | PBE | optimized geometry

Energy relative to the elements ... -0.09 eV/atom
E_tot ... -8.164 eV per atom
D(E_F) ... 32.6 states/eV/cell
Space-group type ... R-3m

POSCAR file:
```
Pu2V2Co15
1.0
4.146 2.394 4.040
-4.146 2.394 4.040
0.000 -4.788 4.040
Pu V Co
2 2 15
Cartesian
0.000 0.000 1.865
0.000 0.000 10.255
0.000 0.000 4.892
0.000 0.000 7.227
-2.073 -1.197 4.040
0.000 -2.398 3.870
-2.077 1.199 3.870
-1.226 -2.123 6.060
-2.452 0.000 6.060
-2.077 -1.199 8.250
-2.073 1.197 8.080
1.226 -2.123 6.060
0.000 2.394 4.040
-1.226 2.123 6.060
2.077 1.199 3.870
2.452 0.000 6.060
1.226 2.123 6.060
2.077 -1.199 8.250
0.000 2.398 8.250
```